[1]
First-principles (PBE) data for a relaxed structure of AcPa2Se8, as listed in Alexandria via LeMat-Bulk.

Summary:
Space-group type = No. 12
ΔE_f (raw) = -1.24 eV per atom

Geometry as POSCAR:
```
AcPa2Se8
1.0
4.2660 -6.4027 0.0000
4.2660 6.4027 0.0000
-0.6584 0.0000 5.3215
Ac Pa Se
1 2 8
direct
0.0000 0.0000 0.0000
0.3037 0.6963 0.5000
0.6963 0.3037 0.5000
0.0798 0.3194 0.5606
0.2478 0.7522 0.0000
0.3194 0.0798 0.5606
0.4168 0.4168 0.1724
0.5832 0.5832 0.8276
0.6806 0.9202 0.4394
0.7522 0.2478 0.0000
0.9202 0.6806 0.4394
```

***

[2]
First-principles (PBE) data for a relaxed structure of K2DySnTe4, as listed in Alexandria via LeMat-Bulk.

Summary:
Space-group type = No. 10
ΔE_f (raw) = -0.96 eV per atom

Geometry as POSCAR:
```
K2DySnTe4
1.0
7.8820 0.0000 0.0000
0.0000 4.4524 0.0000
-2.5377 0.0000 8.2728
K Dy Sn Te
2 1 1 4
direct
0.0000 0.0000 0.0000
0.5000 0.5000 0.0000
0.0000 0.5000 0.5000
0.5000 0.0000 0.5000
0.2346 0.0000 0.7063
0.2627 0.5000 0.2946
0.7373 0.5000 0.7054
0.7654 0.0000 0.2937
```

***

[3]
First-principles (PBE) data for a relaxed structure of Mg4TlZn, as listed in Alexandria via LeMat-Bulk.

Summary:
Space-group type = No. 123
ΔE_f = 0.04 eV/atom

Geometry as POSCAR:
```
Mg4TlZn
1.0
4.6639 0.0000 0.0000
0.0000 4.6639 0.0000
0.0000 0.0000 6.7973
Mg Tl Zn
4 1 1
direct
0.0000 0.5000 0.2307
0.0000 0.5000 0.7693
0.5000 0.0000 0.2307
0.5000 0.0000 0.7693
0.0000 0.0000 0.5000
0.5000 0.5000 0.0000
```

***

[4]
First-principles (PBE) data for a relaxed structure of AlCdI6, as listed in Alexandria via LeMat-Bulk.

Summary:
Space-group type = No. 12
ΔE_f (raw) = -0.40 eV per atom

Geometry as POSCAR:
```
AlCdI6
1.0
3.6294 -6.9274 0.0000
3.6294 6.9274 0.0000
-2.9891 0.0000 6.8988
Al Cd I
1 1 6
direct
0.0000 0.0000 0.0000
0.5000 0.5000 0.5000
0.0718 0.3558 0.2547
0.2805 0.2805 0.8200
0.3558 0.0718 0.2547
0.6442 0.9282 0.7453
0.7195 0.7195 0.1800
0.9282 0.6442 0.7453
```

***

[5]
First-principles (PBE) data for a relaxed structure of RbTl2Cd, as listed in Alexandria via LeMat-Bulk.

Summary:
Space-group type = No. 63
ΔE_f = -0.08 eV/atom

Geometry as POSCAR:
```
RbTl2Cd
1.0
2.3313 -6.8103 0.0000
2.3313 6.8103 0.0000
0.0000 0.0000 8.9763
Rb Tl Cd
2 4 2
direct
0.0451 0.9549 0.7500
0.9549 0.0451 0.2500
0.3482 0.6518 0.5488
0.3482 0.6518 0.9512
0.6518 0.3482 0.0488
0.6518 0.3482 0.4512
0.2283 0.7717 0.2500
0.7717 0.2283 0.7500
```

***

[6]
First-principles (PBE) data for a relaxed structure of Y2ZrMn, as listed in Alexandria via LeMat-Bulk.

Summary:
Space-group type = No. 122
ΔE_f = 0.64 eV/atom

Geometry as POSCAR:
```
Y2ZrMn
1.0
-4.0711 4.0711 2.9306
4.0711 -4.0711 2.9306
4.0711 4.0711 -2.9306
Y Zr Mn
4 2 2
direct
0.0588 0.6250 0.9338
0.3750 0.3088 0.4338
0.6912 0.1250 0.0662
0.8750 0.9412 0.5662
0.2500 0.7500 0.5000
0.5000 0.5000 0.0000
0.0000 0.0000 0.0000
0.7500 0.2500 0.5000
```

***

[7]
First-principles (PBE) data for a relaxed structure of LiSm2PaAs4, as listed in Alexandria via LeMat-Bulk.

Summary:
Space-group type = No. 10
ΔE_f = -1.10 eV/atom

Geometry as POSCAR:
```
LiSm2PaAs4
1.0
7.0614 0.0000 0.0000
0.0000 4.1967 0.0000
-2.3167 0.0000 6.7982
Li Sm Pa As
1 2 1 4
direct
0.0000 0.0000 0.0000
0.0000 0.5000 0.5000
0.5000 0.0000 0.5000
0.5000 0.5000 0.0000
0.2544 0.0000 0.7632
0.2570 0.5000 0.2396
0.7430 0.5000 0.7604
0.7456 0.0000 0.2368
```

***

[8]
First-principles (PBE) data for a relaxed structure of ZnIn2Ir2, as listed in Alexandria via LeMat-Bulk.

Summary:
Space-group type = No. 127
ΔE_f = -0.02 eV/atom

Geometry as POSCAR:
```
ZnIn2Ir2
1.0
7.5066 0.0000 0.0000
0.0000 7.5066 0.0000
0.0000 0.0000 3.2316
Zn In Ir
2 4 4
direct
0.0000 0.0000 0.0000
0.5000 0.5000 0.0000
0.1526 0.3474 0.5000
0.3474 0.8474 0.5000
0.6526 0.1526 0.5000
0.8474 0.6526 0.5000
0.1473 0.6473 0.0000
0.3527 0.1473 0.0000
0.6473 0.8527 0.0000
0.8527 0.3527 0.0000
```

***

[9]
First-principles (PBE) data for a relaxed structure of Rb2NbTe3, as listed in Alexandria via LeMat-Bulk.

Summary:
Space-group type = No. 15
ΔE_f (raw) = -0.65 eV per atom

Geometry as POSCAR:
```
Rb2NbTe3
1.0
3.9572 -7.5200 0.0000
3.9572 7.5200 0.0000
-0.4872 0.0000 17.9131
Rb Nb Te
8 4 12
direct
0.0272 0.4073 0.3422
0.1495 0.3556 0.9293
0.3556 0.1495 0.4293
0.4073 0.0272 0.8422
0.5927 0.9728 0.1578
0.6444 0.8505 0.5707
0.8505 0.6444 0.0707
0.9728 0.5927 0.6578
0.2529 0.2684 0.6622
0.2684 0.2529 0.1622
0.7316 0.7471 0.8378
0.7471 0.7316 0.3378
0.0266 0.9734 0.2500
0.1230 0.3334 0.5405
0.1382 0.4619 0.1332
0.3334 0.1230 0.0405
0.4136 0.5864 0.7500
0.4619 0.1382 0.6332
0.5381 0.8618 0.3668
0.5864 0.4136 0.2500
0.6666 0.8770 0.9595
0.8618 0.5381 0.8668
0.8770 0.6666 0.4595
0.9734 0.0266 0.7500
```

***

[10]
First-principles (PBE) data for a relaxed structure of NdSi3Pd5, as listed in Alexandria via LeMat-Bulk.

Summary:
Space-group type = No. 63
ΔE_f (raw) = -0.74 eV per atom

Geometry as POSCAR:
```
NdSi3Pd5
1.0
1.9658 -6.2598 0.0000
1.9658 6.2598 0.0000
0.0000 0.0000 12.6495
Nd Si Pd
2 6 10
direct
0.1501 0.8499 0.7500
0.8499 0.1501 0.2500
0.1192 0.8808 0.2500
0.3866 0.6134 0.0404
0.3866 0.6134 0.4596
0.6134 0.3866 0.5404
0.6134 0.3866 0.9596
0.8808 0.1192 0.7500
0.0000 0.0000 0.0000
0.0000 0.0000 0.5000
0.2064 0.7936 0.0751
0.2064 0.7936 0.4249
0.4462 0.5538 0.6453
0.4462 0.5538 0.8547
0.5538 0.4462 0.1453
0.5538 0.4462 0.3547
0.7936 0.2064 0.5751
0.7936 0.2064 0.9249
```

***

[11]
First-principles (PBE) data for a relaxed structure of Ir2RuSe, as listed in Alexandria via LeMat-Bulk.

Summary:
Space-group type = No. 123
ΔE_f (raw) = 0.50 eV per atom

Geometry as POSCAR:
```
Ir2RuSe
1.0
3.8765 0.0000 0.0000
0.0000 3.8765 0.0000
0.0000 0.0000 3.9927
Ir Ru Se
2 1 1
direct
0.0000 0.5000 0.0000
0.5000 0.0000 0.0000
0.0000 0.0000 0.5000
0.5000 0.5000 0.5000
```

***

[12]
First-principles (PBE) data for a relaxed structure of K2TeSe, as listed in Alexandria via LeMat-Bulk.

Summary:
Space-group type = No. 123
ΔE_f (raw) = -0.70 eV per atom

Geometry as POSCAR:
```
K2TeSe
1.0
5.0675 0.0000 0.0000
0.0000 5.0675 0.0000
0.0000 0.0000 4.8669
K Te Se
2 1 1
direct
0.0000 0.5000 0.0000
0.5000 0.0000 0.0000
0.0000 0.0000 0.5000
0.5000 0.5000 0.5000
```

***

[13]
First-principles (PBE) data for a relaxed structure of Cs2BCl, as listed in Alexandria via LeMat-Bulk.

Summary:
Space-group type = No. 122
ΔE_f (raw) = 0.17 eV per atom

Geometry as POSCAR:
```
Cs2BCl
1.0
-4.4706 4.4706 5.1976
4.4706 -4.4706 5.1976
4.4706 4.4706 -5.1976
Cs B Cl
4 2 2
direct
0.1153 0.1250 0.4903
0.3750 0.8847 0.0097
0.6347 0.6250 0.5097
0.8750 0.3653 0.9903
0.2500 0.7500 0.5000
0.5000 0.5000 0.0000
0.0000 0.0000 0.0000
0.7500 0.2500 0.5000
```

***

[14]
First-principles (PBE) data for a relaxed structure of DyLu2Th, as listed in Alexandria via LeMat-Bulk.

Summary:
Space-group type = No. 166
ΔE_f = 0.03 eV/atom

Geometry as POSCAR:
```
DyLu2Th
1.0
1.7649 1.0190 11.3394
-1.7649 1.0190 11.3394
0.0000 -2.0380 11.3394
Dy Lu Th
1 2 1
direct
0.0000 0.0000 0.0000
0.2490 0.2490 0.2490
0.7510 0.7510 0.7510
0.5000 0.5000 0.5000
```

***

[15]
First-principles (PBE) data for a relaxed structure of TlMoCl, as listed in Alexandria via LeMat-Bulk.

Summary:
Space-group type = No. 187
ΔE_f (raw) = 0.64 eV per atom

Geometry as POSCAR:
```
TlMoCl
1.0
4.6655 0.0000 0.0000
-2.3328 4.0405 0.0000
0.0000 0.0000 3.1081
Tl Mo Cl
1 1 1
direct
0.0000 0.0000 0.0000
0.6667 0.3333 0.5000
0.3333 0.6667 0.5000
```

***

[16]
First-principles (PBE) data for a relaxed structure of AlAs2Os, as listed in Alexandria via LeMat-Bulk.

Summary:
Space-group type = No. 12
ΔE_f = 0.22 eV/atom

Geometry as POSCAR:
```
AlAs2Os
1.0
4.2835 -1.5520 0.0000
4.2835 1.5520 0.0000
-0.8707 0.0000 4.9164
Al As Os
1 2 1
direct
0.0000 0.0000 0.0000
0.2293 0.2293 0.7334
0.7707 0.7707 0.2666
0.5000 0.5000 0.5000
```

***

[17]
First-principles (PBE) data for a relaxed structure of NiMo2Se, as listed in Alexandria via LeMat-Bulk.

Summary:
Space-group type = No. 216
ΔE_f (raw) = 0.48 eV per atom

Geometry as POSCAR:
```
NiMo2Se
1.0
0.0000 3.1146 3.1146
3.1146 0.0000 3.1146
3.1146 3.1146 0.0000
Ni Mo Se
1 2 1
direct
0.0000 0.0000 0.0000
0.2500 0.2500 0.2500
0.5000 0.5000 0.5000
0.7500 0.7500 0.7500
```

***

[18]
First-principles (PBE) data for a relaxed structure of LaNb2Sb2, as listed in Alexandria via LeMat-Bulk.

Summary:
Space-group type = No. 139
ΔE_f (raw) = -0.31 eV per atom

Geometry as POSCAR:
```
LaNb2Sb2
1.0
-2.6570 2.6570 4.5074
2.6570 -2.6570 4.5074
2.6570 2.6570 -4.5074
La Nb Sb
1 2 2
direct
0.0000 0.0000 0.0000
0.3722 0.3722 0.0000
0.6278 0.6278 0.0000
0.2500 0.7500 0.5000
0.7500 0.2500 0.5000
```

***

[19]
First-principles (PBE) data for a relaxed structure of NaSnW3, as listed in Alexandria via LeMat-Bulk.

Summary:
Space-group type = No. 221
ΔE_f = 2.85 eV/atom

Geometry as POSCAR:
```
NaSnW3
1.0
4.5864 0.0000 0.0000
0.0000 4.5864 0.0000
0.0000 0.0000 4.5864
Na Sn W
1 1 3
direct
0.0000 0.0000 0.0000
0.5000 0.5000 0.5000
0.0000 0.0000 0.5000
0.0000 0.5000 0.0000
0.5000 0.0000 0.0000
```

***

[20]
First-principles (PBE) data for a relaxed structure of Hf2Zr2In3, as listed in Alexandria via LeMat-Bulk.

Summary:
Space-group type = No. 65
ΔE_f = -0.11 eV/atom

Geometry as POSCAR:
```
Hf2Zr2In3
1.0
2.3762 -10.5552 0.0000
2.3762 10.5552 0.0000
0.0000 0.0000 3.0977
Hf Zr In
2 2 3
direct
0.2096 0.7904 0.0000
0.7904 0.2096 0.0000
0.0705 0.9295 0.0000
0.9295 0.0705 0.0000
0.3498 0.6502 0.5000
0.5000 0.5000 0.5000
0.6502 0.3498 0.5000
```

***

Number 1: DOS at the Fermi energy 4.4 states/eV per cell. Number 2: DOS at the Fermi energy 2.9 states/eV per cell. Number 3: DOS at the Fermi energy 2.7 states/eV per cell. Number 4: DOS at the Fermi energy 0.4 states/eV per cell. Number 5: DOS at the Fermi energy 2.6 states/eV per cell. Number 6: DOS at the Fermi energy 9.9 states/eV per cell. Number 7: DOS at the Fermi energy 2.6 states/eV per cell. Number 8: DOS at the Fermi energy 3.9 states/eV per cell. Number 9: DOS at the Fermi energy 11.5 states/eV per cell. Number 10: DOS at the Fermi energy 6.8 states/eV per cell. Number 11: DOS at the Fermi energy 2.7 states/eV per cell. Number 12: DOS at the Fermi energy 1.2 states/eV per cell. Number 13: DOS at the Fermi energy 2.2 states/eV per cell. Number 14: DOS at the Fermi energy 5.8 states/eV per cell. Number 15: DOS at the Fermi energy 3.5 states/eV per cell. Number 16: DOS at the Fermi energy 2.0 states/eV per cell. Number 17: DOS at the Fermi energy 6.8 states/eV per cell. Number 18: DOS at the Fermi energy 3.6 states/eV per cell. Number 19: DOS at the Fermi energy 8.1 states/eV per cell. Number 20: DOS at the Fermi energy 6.1 states/eV per cell.